# 1
Material: KIrCF2
Method: DFT, PBEsol
State: optimized geometry

Unit cell a=3.9302 b=3.9302 c=5.3733 alpha=90.00 beta=90.00 gamma=90.00
Last column: magnetic moment on the atom in μB.
Positions (direct):
1 K 0.0000 0.0000 0.5000  0.04
2 Ir 0.5000 0.5000 0.5000  1.61
3 C 0.0000 0.0000 0.0000  0.38
4 F 0.0000 0.5000 0.0000  0.02
5 F 0.5000 0.0000 0.0000  0.02

Values from the calculation:
Energy relative to the elements, uncorrected in eV/atom: 1.58



# 2
Material: LaAl2P
Method: DFT, PBEsol
State: optimized geometry

Unit cell a=3.5461 b=4.6070 c=5.8351 alpha=113.25 beta=107.69 gamma=90.00
Positions (direct):
1 P 0.0000 0.5000 0.0000
2 Al 0.7140 0.7140 0.4279
3 Al 0.2860 0.2860 0.5721
4 La 0.5000 0.0000 0.0000

Values from the calculation:
Calculated total energy in eV/atom: -5.303



# 3
Material: Na2GeP
Method: DFT, PBEsol
State: optimized geometry

Unit cell a=4.8029 b=4.8029 c=4.8029 alpha=60.00 beta=60.00 gamma=60.00
Positions (direct):
1 P 0.0000 0.0000 0.0000
2 Ge 0.5000 0.5000 0.5000
3 Na 0.2500 0.2500 0.2500
4 Na 0.7500 0.7500 0.7500

Values from the calculation:
Calculated total energy in eV/atom: -3.252



# 4
Material: Mg2TcOs
Method: DFT, PBEsol
State: optimized geometry

Unit cell a=3.1558 b=4.3080 c=4.4699 alpha=90.00 beta=90.00 gamma=90.00
Positions (direct):
1 Mg 0.0000 0.0000 0.0000
2 Mg 0.5000 0.5000 0.0000
3 Os 0.5000 0.0000 0.5000
4 Tc 0.0000 0.5000 0.5000

Values from the calculation:
Excess energy over the best structure of this formula in the dataset in meV/atom: 260



# 5
Material: Li3AsAu
Method: DFT, PBEsol
State: optimized geometry

Unit cell a=4.6552 b=4.6552 c=4.6552 alpha=90.00 beta=90.00 gamma=90.00
Positions (direct):
1 As 0.0000 0.0000 0.0000
2 Au 0.5000 0.5000 0.5000
3 Li 0.0000 0.5000 0.0000
4 Li 0.0000 0.0000 0.5000
5 Li 0.5000 0.0000 0.0000

Values from the calculation:
Excess energy over the best structure of this formula in the dataset in meV/atom: 0



# 6
Material: KSmH2S2O9
Method: DFT, PBEsol
State: optimized geometry

Unit cell a=8.3610 b=9.9978 c=10.1905 alpha=118.85 beta=90.00 gamma=90.00
Positions (direct):
1 K 0.1805 0.7889 0.3128
2 K 0.6805 0.2111 0.1872
3 K 0.8195 0.2111 0.6872
4 K 0.3195 0.7889 0.8128
5 Sm 0.1611 0.2670 0.0370
6 Sm 0.6611 0.7330 0.4630
7 Sm 0.8389 0.7330 0.9630
8 Sm 0.3389 0.2670 0.5370
9 H 0.4815 0.2722 0.9220
10 H 0.9815 0.7278 0.5780
11 H 0.5185 0.7278 0.0780
12 H 0.0185 0.2722 0.4220
13 H 0.5070 0.4046 0.0902
14 H 0.0070 0.5954 0.4098
15 H 0.4930 0.5954 0.9098
16 H 0.9930 0.4046 0.5902
17 S 0.8134 0.5182 0.1044
18 S 0.3134 0.4818 0.3956
19 S 0.1866 0.4818 0.8956
20 S 0.6866 0.5182 0.6044
21 S 0.1304 0.0499 0.1780
22 S 0.6304 0.9501 0.3220
23 S 0.8696 0.9501 0.8220
24 S 0.3696 0.0499 0.6780
25 O 0.6720 0.5333 0.2003
26 O 0.1720 0.4667 0.2997
27 O 0.3280 0.4667 0.7997
28 O 0.8280 0.5333 0.7003
29 O 0.9206 0.4048 0.1112
30 O 0.4206 0.5952 0.3888
31 O 0.0794 0.5952 0.8888
32 O 0.5794 0.4048 0.6112
33 O 0.8911 0.6710 0.1644
34 O 0.3911 0.3290 0.3356
35 O 0.1089 0.3290 0.8356
36 O 0.6089 0.6710 0.6644
37 O 0.7632 0.4729 0.9494
38 O 0.2632 0.5271 0.5506
39 O 0.2368 0.5271 0.0506
40 O 0.7368 0.4729 0.4494
41 O 0.2130 0.0663 0.3128
42 O 0.7130 0.9337 0.1872
43 O 0.7870 0.9337 0.6872
44 O 0.2870 0.0663 0.8128
45 O 0.0462 0.9017 0.1082
46 O 0.5462 0.0983 0.3918
47 O 0.9538 0.0983 0.8918
48 O 0.4538 0.9017 0.6082
49 O 0.2462 0.0546 0.0690
50 O 0.7462 0.9454 0.4310
51 O 0.7538 0.9454 0.9310
52 O 0.2538 0.0546 0.5690
53 O 0.0186 0.1811 0.2186
54 O 0.5186 0.8189 0.2814
55 O 0.9814 0.8189 0.7814
56 O 0.4814 0.1811 0.7186
57 O 0.4549 0.3039 0.0286
58 O 0.9549 0.6961 0.4714
59 O 0.5451 0.6961 0.9714
60 O 0.0451 0.3039 0.5286

Values from the calculation:
Calculated total energy in eV/atom: -6.508



Copy entry 6 word for word.
Material: KSmH2S2O9
Method: DFT, PBEsol
State: optimized geometry

Unit cell a=8.3610 b=9.9978 c=10.1905 alpha=118.85 beta=90.00 gamma=90.00
Positions (direct):
1 K 0.1805 0.7889 0.3128
2 K 0.6805 0.2111 0.1872
3 K 0.8195 0.2111 0.6872
4 K 0.3195 0.7889 0.8128
5 Sm 0.1611 0.2670 0.0370
6 Sm 0.6611 0.7330 0.4630
7 Sm 0.8389 0.7330 0.9630
8 Sm 0.3389 0.2670 0.5370
9 H 0.4815 0.2722 0.9220
10 H 0.9815 0.7278 0.5780
11 H 0.5185 0.7278 0.0780
12 H 0.0185 0.2722 0.4220
13 H 0.5070 0.4046 0.0902
14 H 0.0070 0.5954 0.4098
15 H 0.4930 0.5954 0.9098
16 H 0.9930 0.4046 0.5902
17 S 0.8134 0.5182 0.1044
18 S 0.3134 0.4818 0.3956
19 S 0.1866 0.4818 0.8956
20 S 0.6866 0.5182 0.6044
21 S 0.1304 0.0499 0.1780
22 S 0.6304 0.9501 0.3220
23 S 0.8696 0.9501 0.8220
24 S 0.3696 0.0499 0.6780
25 O 0.6720 0.5333 0.2003
26 O 0.1720 0.4667 0.2997
27 O 0.3280 0.4667 0.7997
28 O 0.8280 0.5333 0.7003
29 O 0.9206 0.4048 0.1112
30 O 0.4206 0.5952 0.3888
31 O 0.0794 0.5952 0.8888
32 O 0.5794 0.4048 0.6112
33 O 0.8911 0.6710 0.1644
34 O 0.3911 0.3290 0.3356
35 O 0.1089 0.3290 0.8356
36 O 0.6089 0.6710 0.6644
37 O 0.7632 0.4729 0.9494
38 O 0.2632 0.5271 0.5506
39 O 0.2368 0.5271 0.0506
40 O 0.7368 0.4729 0.4494
41 O 0.2130 0.0663 0.3128
42 O 0.7130 0.9337 0.1872
43 O 0.7870 0.9337 0.6872
44 O 0.2870 0.0663 0.8128
45 O 0.0462 0.9017 0.1082
46 O 0.5462 0.0983 0.3918
47 O 0.9538 0.0983 0.8918
48 O 0.4538 0.9017 0.6082
49 O 0.2462 0.0546 0.0690
50 O 0.7462 0.9454 0.4310
51 O 0.7538 0.9454 0.9310
52 O 0.2538 0.0546 0.5690
53 O 0.0186 0.1811 0.2186
54 O 0.5186 0.8189 0.2814
55 O 0.9814 0.8189 0.7814
56 O 0.4814 0.1811 0.7186
57 O 0.4549 0.3039 0.0286
58 O 0.9549 0.6961 0.4714
59 O 0.5451 0.6961 0.9714
60 O 0.0451 0.3039 0.5286

Values from the calculation:
Calculated total energy in eV/atom: -6.508